(1)
First-principles (GGA-PBE) data for BaHgSbPd3 after structural relaxation, as listed in the Alexandria database.

The space group is Cmcm (No. 63) and the conventional cell measures 7.079, 12.744 and 6.771 Å, with angles of 90.00, 90.00 and 90.00 degrees. The inequivalent atoms are Ba at (0.000, 0.207, 0.250), Hg at (0.000, 0.470, 0.250), Sb at (0.000, 0.114, 0.750), Pd at (0.000, 0.315, 0.750) and Pd at (0.204, 0.000, 0.000).

The total energy is -24.437 eV/f.u. The uncorrected formation energy comes out at -419 meV per atom.


(2)
First-principles (GGA-PBE) data for Ba2SiHgPd after structural relaxation, as listed in the Alexandria database.

The space group is P4/mmm (No. 123) and the conventional cell measures 6.192, 6.192 and 4.639 Å, with angles of 90.00, 90.00 and 90.00 degrees. The inequivalent atoms are Ba at (0.000, 0.500, 0.000), Si at (0.000, 0.000, 0.500), Hg at (0.500, 0.500, 0.500) and Pd at (0.000, 0.000, 0.000).

The total energy is -16.886 eV/f.u. The uncorrected formation energy comes out at -425 meV per atom.


(3)
First-principles (GGA-PBE) data for Ba2SiHgPd6 after structural relaxation, as listed in the Alexandria database.

The space group is P-1 (No. 2) and the conventional cell measures 5.778, 6.638 and 7.316 Å, with angles of 74.56, 66.81 and 64.39 degrees. The inequivalent atoms are Ba at (0.237, 0.221, 0.305), Si at (0.000, 0.000, 0.000), Hg at (0.500, 0.500, 0.500), Pd at (0.234, 0.243, 0.802), Pd at (0.245, 0.618, 0.891) and Pd at (0.280, 0.757, 0.197).

The total energy is -46.303 eV/f.u. The uncorrected formation energy comes out at -558 meV per atom.


(4)
First-principles (GGA-PBE) data for BaSmHgPd after structural relaxation, as listed in the Alexandria database.

The space group is F-43m (No. 216) and the conventional cell measures 7.726, 7.726 and 7.726 Å, with angles of 90.00, 90.00 and 90.00 degrees. The inequivalent atoms are Ba at (0.000, 0.000, 0.000), Sm at (0.000, 0.000, 0.500), Hg at (0.250, 0.250, 0.750) and Pd at (0.250, 0.250, 0.250).

The total energy is -13.695 eV/f.u.


(5)
First-principles (GGA-PBE) data for Ba2SnHg6Pd after structural relaxation, as listed in the Alexandria database.

The space group is P-1 (No. 2) and the conventional cell measures 6.015, 7.588 and 7.668 Å, with angles of 83.04, 69.58 and 67.62 degrees. The inequivalent atoms are Ba at (0.016, 0.241, 0.226), Sn at (0.500, 0.500, 0.000), Hg at (0.015, 0.216, 0.740), Hg at (0.358, 0.401, 0.418), Hg at (0.498, 0.806, 0.216) and Pd at (0.500, 0.000, 0.500).

The total energy is -18.034 eV/f.u.


(6)
First-principles (GGA-PBE) data for BaSnHgPd3 after structural relaxation, as listed in the Alexandria database.

The space group is Cmcm (No. 63) and the conventional cell measures 6.969, 12.703 and 6.905 Å, with angles of 90.00, 90.00 and 90.00 degrees. The inequivalent atoms are Ba at (0.000, 0.201, 0.250), Sn at (0.000, 0.115, 0.750), Hg at (0.000, 0.464, 0.250), Pd at (0.000, 0.319, 0.750) and Pd at (0.206, 0.000, 0.000).

The total energy is -24.074 eV/f.u.


(7)
First-principles (GGA-PBE) data for Ba2Sn4HgPd3 after structural relaxation, as listed in the Alexandria database.

The space group is P-4m2 (No. 115) and the conventional cell measures 4.829, 4.829 and 11.145 Å, with angles of 90.00, 90.00 and 90.00 degrees. The inequivalent atoms are Ba at (0.000, 0.500, 0.249), Sn at (0.000, 0.000, 0.500), Sn at (0.000, 0.500, 0.863), Sn at (0.500, 0.500, 0.500), Hg at (0.500, 0.500, 0.000), Pd at (0.000, 0.000, 0.000) and Pd at (0.000, 0.500, 0.620).

The total energy is -42.008 eV/f.u.


(8)
First-principles (GGA-PBE) data for Ba2Sn3HgPd4 after structural relaxation, as listed in the Alexandria database.

The space group is P-4m2 (No. 115) and the conventional cell measures 4.867, 4.867 and 10.617 Å, with angles of 90.00, 90.00 and 90.00 degrees. The inequivalent atoms are Ba at (0.000, 0.500, 0.249), Sn at (0.000, 0.500, 0.886), Sn at (0.500, 0.500, 0.500), Hg at (0.000, 0.000, 0.500), Pd at (0.000, 0.000, 0.000), Pd at (0.000, 0.500, 0.632) and Pd at (0.500, 0.500, 0.000).

The total energy is -43.513 eV/f.u.


(9)
First-principles (GGA-PBE) data for Ba2Sn4Hg3Pd after structural relaxation, as listed in the Alexandria database.

The space group is P-4m2 (No. 115) and the conventional cell measures 4.951, 4.951 and 11.879 Å, with angles of 90.00, 90.00 and 90.00 degrees. The inequivalent atoms are Ba at (0.000, 0.500, 0.238), Sn at (0.000, 0.000, 0.500), Sn at (0.000, 0.500, 0.885), Sn at (0.500, 0.500, 0.500), Hg at (0.000, 0.000, 0.000), Hg at (0.000, 0.500, 0.645) and Pd at (0.500, 0.500, 0.000).

The total energy is -30.416 eV/f.u.


(10)
First-principles (GGA-PBE) data for BaSrHgPd after structural relaxation, as listed in the Alexandria database.

The space group is Amm2 (No. 38) and the conventional cell measures 4.862, 4.595 and 11.954 Å, with angles of 90.00, 90.00 and 90.00 degrees. The inequivalent atoms are Ba at (0.000, 0.000, 0.000), Sr at (0.500, 0.000, 0.719), Hg at (0.500, 0.000, 0.421) and Pd at (0.000, 0.000, 0.285).

The total energy is -11.192 eV/f.u.


(11)
First-principles (GGA-PBE) data for Ba2SrHg12Pd3 after structural relaxation, as listed in the Alexandria database.

The space group is R-3m (No. 166, hexagonal axes) and the conventional cell measures 9.7167, 9.7167 and 21.2565 Å, with angles of 90.00, 90.00 and 120.00 degrees. The inequivalent atoms are Ba at (0.0000, 0.0000, 0.0913), Sr at (0.0000, 0.0000, 0.5000), Hg at (0.0353, 0.5176, 0.3162), Hg at (0.0587, 0.5293, 0.8731) and Pd at (0.0000, 0.5000, 0.0000).

The total energy is -27.620 eV/f.u.


(12)
First-principles (GGA-PBE) data for BaTaHg2Pd after structural relaxation, as listed in the Alexandria database.

The space group is P4/mmm (No. 123) and the conventional cell measures 6.031, 6.031 and 5.581 Å, with angles of 90.00, 90.00 and 90.00 degrees. The inequivalent atoms are Ba at (0.000, 0.000, 0.000), Ta at (0.000, 0.000, 0.500), Hg at (0.000, 0.500, 0.000) and Pd at (0.500, 0.500, 0.500).

The total energy is -10.001 eV/f.u.


Question: Look up the total energy of the tenth one.
Answer: -11.192 eV/f.u.


Question: Look up the total energy of the eleventh one.
Answer: -27.620 eV/f.u.


Question: total energy of number 8 (Ba2Sn3HgPd4)?
Answer: -43.513 eV/f.u.


Question: What is the total energy in the seventh record?
Answer: -42.008 eV/f.u.